First-principles (PBE+U) data for AcV2RuO8 after structural relaxation, as listed in Alexandria.

Summary:
The raw total energy comes out at -92.3 eV per cell.

extended XYZ file:
```
12
Lattice="4.376 -2.900 0.000 4.376 2.900 0.000 -0.179 0.000 7.206" Properties=species:S:1:pos:R:3 pbc="T T T"
Ac 0.000 0.000 0.000
V 3.056 0.000 5.164
V 5.517 0.000 2.042
Ru -0.090 0.000 3.603
O 4.038 1.503 5.074
O 1.850 0.000 3.959
O 4.535 1.503 2.132
O 2.357 0.000 6.736
O 6.215 0.000 0.470
O 4.038 -1.503 5.074
O 6.723 0.000 3.247
O 4.535 -1.503 2.132
```